# 1
Ca2SbO PBE relaxed; energy above the most stable polymorph in this dataset = 87.7 kJ/mol of atoms; uncorrected formation energy = -0.94 eV per atom
1.0
1.0617 -1.6593 4.7113
1.9873 3.2009 3.4470
-2.8239 1.5668 3.9557
Ca Sb O
2 1 1
direct
0.7500 0.7500 0.7500 Ca
0.2500 0.2500 0.2500 Ca
0.5000 0.5000 0.5000 Sb
0.0000 0.0000 0.0000 O

---

# 2
NaPH2 PBE relaxed; energy above the most stable polymorph in this dataset = 56.2 kJ/mol of atoms
1.0
2.9749 0.0000 0.0000
1.4875 2.5764 0.0000
1.4875 0.8588 6.2174
P Na H
1 1 2
direct
0.0000 0.0000 0.0000 P
0.5000 0.5000 0.5000 Na
0.9061 0.9061 0.2817 H
0.0939 0.0939 0.7183 H

---

# 3
Tl2W PBE relaxed; E_form = 1.011 eV/atom; energy above the most stable polymorph in this dataset = 36.9 kJ/mol of atoms
1.0
0.1428 -0.7021 9.3017
3.1641 -3.2000 8.1722
-0.3338 3.5034 -8.6401
Tl W
2 1
direct
0.3587 0.3587 0.0000 Tl
0.6413 0.6413 0.0000 Tl
0.0000 0.0000 0.0000 W

---

# 4
Er8InPb2 PBE relaxed; E_form = -0.142 eV/atom
1.0
-4.5238 -3.4444 0.5192
5.8608 -4.3753 4.2225
-2.9875 7.1238 3.4130
Er Pb In
8 2 1
direct
0.2943 0.6014 0.6014 Er
0.1427 0.3258 0.0984 Er
0.5000 0.2182 0.7818 Er
0.8573 0.6742 0.9016 Er
0.5000 0.7818 0.2182 Er
0.7057 0.3986 0.3986 Er
0.1427 0.0984 0.3258 Er
0.8573 0.9016 0.6742 Er
0.0000 0.3038 0.6962 Pb
0.0000 0.6962 0.3038 Pb
0.5000 0.0000 0.0000 In

---

# 5
Zr2SbMo PBE relaxed; uncorrected formation energy = -0.08 eV per atom
1.0
4.8247 0.0000 0.0000
2.4123 4.1783 0.0000
2.4123 1.3928 3.9393
Mo Zr Sb
1 2 1
direct
0.5000 0.5000 0.5000 Mo
0.0000 0.0000 0.0000 Zr
0.7500 0.7500 0.7500 Zr
0.2500 0.2500 0.2500 Sb

---

# 6
Pa2MnGa2Si4 PBE relaxed; uncorrected formation energy = -0.42 eV per atom
1.0
5.9440 -0.2990 -0.4718
-2.6614 5.3232 0.4718
-2.6614 -1.8456 5.0153
Mn Ga Si Pa
1 2 4 2
direct
0.0000 0.0000 0.0000 Mn
0.0000 0.2853 0.2853 Ga
0.0000 0.7147 0.7147 Ga
0.0000 0.2740 0.7260 Si
0.0000 0.7260 0.2740 Si
0.5481 0.2741 0.2741 Si
0.4519 0.7259 0.7259 Si
0.5000 0.7500 0.2500 Pa
0.5000 0.2500 0.7500 Pa

---

Number 1: M_tot 1.0 μB per formula unit, E -4.209 eV per atom. Number 2: M_tot 0.0 μB per formula unit, E -2.987 eV per atom. Number 3: M_tot 0.0 μB per formula unit, E -4.885 eV per atom. Number 4: M_tot 0.6 μB per formula unit, E -4.384 eV per atom. Number 5: M_tot 0.0 μB per formula unit, E -8.090 eV per atom. Number 6: M_tot 0.0 μB per formula unit, E -6.629 eV per atom.